[1]
# NdNp4As5, optimized geometry, DFT PBE
# **Raw total energy**: -8.787 eV/atom
# **ρ**: 9.75 g/cm³
# **Crystal system**: monoclinic
# **Calculated formation energy**: -78.1 kJ/mol of atoms
data_NdNp4As5
_space_group_name_H-M_alt 'C 1 2/m 1'
_space_group_IT_number 12
_cell_length_a 13.783
_cell_length_b 4.108
_cell_length_c 10.178
_cell_angle_alpha 90.00
_cell_angle_beta 119.85
_cell_angle_gamma 90.00
loop_
_space_group_symop_operation_xyz
'x,y,z'
'-x,-y,-z'
'-x,y,-z'
'x,-y,z'
'x+1/2,y+1/2,z'
'-x+1/2,-y+1/2,-z'
'-x+1/2,y+1/2,-z'
'x+1/2,-y+1/2,z'
loop_
_atom_site_label
_atom_site_fract_x
_atom_site_fract_y
_atom_site_fract_z
Nd1 0.000 0.000 0.000
Np1 0.098 0.500 0.400
Np2 0.201 0.000 0.799
As1 0.000 0.000 0.500
As2 0.105 0.500 0.897
As3 0.202 0.000 0.306



[2]
# NdNp2As3, optimized geometry, DFT PBE
# **Raw total energy**: -8.383 eV/atom
# **ρ**: 9.17 g/cm³
# **Crystal system**: orthorhombic
# **Calculated formation energy**: -91.7 kJ/mol of atoms
data_NdNp2As3
_space_group_name_H-M_alt 'I m m m'
_space_group_IT_number 71
_space_group_name_Hall '-I 2 2'
_cell_length_a 4.153
_cell_length_b 5.883
_cell_length_c 12.500
_cell_angle_alpha 90.00
_cell_angle_beta 90.00
_cell_angle_gamma 90.00
loop_
_atom_site_label
_atom_site_fract_x
_atom_site_fract_y
_atom_site_fract_z
Nd1 0.000 0.000 0.000
Np1 0.000 0.000 0.335
As1 0.000 0.500 0.000
As2 0.000 0.500 0.326



[3]
# Nd3NpAs4, optimized geometry, DFT PBE
# **Raw total energy**: -7.026 eV/atom
# **ρ**: 7.53 g/cm³
# **Crystal system**: monoclinic
# **Calculated formation energy**: -125.0 kJ/mol of atoms
data_Nd3NpAs4
_space_group_name_H-M_alt 'P 1 2/c 1'
_space_group_IT_number 13
_cell_length_a 7.329
_cell_length_b 8.459
_cell_length_c 7.318
_cell_angle_alpha 90.00
_cell_angle_beta 109.50
_cell_angle_gamma 90.00
loop_
_space_group_symop_operation_xyz
'x,y,z'
'-x,-y,-z'
'-x,y,-z+1/2'
'x,-y,z+1/2'
loop_
_atom_site_label
_atom_site_fract_x
_atom_site_fract_y
_atom_site_fract_z
Nd1 0.000 0.124 0.250
Nd2 0.000 0.374 0.750
Nd3 0.500 0.125 0.750
Np1 0.500 0.375 0.250
As1 0.254 0.131 0.006
As2 0.261 0.380 0.499



[4]
# Nd4NpAs5, optimized geometry, DFT PBE
# **Raw total energy**: -6.863 eV/atom
# **ρ**: 7.34 g/cm³
# **Crystal system**: tetragonal
# **Calculated formation energy**: -129.0 kJ/mol of atoms
data_Nd4NpAs5
_space_group_name_H-M_alt 'I 4/m'
_space_group_IT_number 87
_space_group_name_Hall '-I 4'
_cell_length_a 9.474
_cell_length_b 9.474
_cell_length_c 5.992
_cell_angle_alpha 90.00
_cell_angle_beta 90.00
_cell_angle_gamma 90.00
loop_
_atom_site_label
_atom_site_fract_x
_atom_site_fract_y
_atom_site_fract_z
Nd1 0.098 0.699 0.000
Np1 0.000 0.000 0.500
As1 0.000 0.000 0.000
As2 0.097 0.708 0.500



[5]
# Nd2NpPaAs4, optimized geometry, DFT PBE
# **Raw total energy**: -7.516 eV/atom
# **ρ**: 8.46 g/cm³
# **Crystal system**: monoclinic
# **Calculated formation energy**: -115.3 kJ/mol of atoms
data_Nd2NpPaAs4
_space_group_name_H-M_alt 'P 1 2/m 1'
_space_group_IT_number 10
_cell_length_a 7.215
_cell_length_b 4.177
_cell_length_c 7.290
_cell_angle_alpha 90.00
_cell_angle_beta 109.40
_cell_angle_gamma 90.00
loop_
_space_group_symop_operation_xyz
'x,y,z'
'-x,-y,-z'
'-x,y,-z'
'x,-y,z'
loop_
_atom_site_label
_atom_site_fract_x
_atom_site_fract_y
_atom_site_fract_z
Nd1 0.000 0.000 0.000
Nd2 0.500 0.500 0.000
Np1 0.000 0.500 0.500
Pa1 0.500 0.000 0.500
As1 0.247 0.000 0.737
As2 0.257 0.500 0.263



[6]
# PmNd2NpAs4, optimized geometry, DFT PBE
# **Raw total energy**: -7.026 eV/atom
# **ρ**: 7.58 g/cm³
# **Crystal system**: monoclinic
# **Calculated formation energy**: -125.2 kJ/mol of atoms
data_PmNd2NpAs4
_space_group_name_H-M_alt 'P 1 2/m 1'
_space_group_IT_number 10
_cell_length_a 7.308
_cell_length_b 4.215
_cell_length_c 7.309
_cell_angle_alpha 90.00
_cell_angle_beta 109.31
_cell_angle_gamma 90.00
loop_
_space_group_symop_operation_xyz
'x,y,z'
'-x,-y,-z'
'-x,y,-z'
'x,-y,z'
loop_
_atom_site_label
_atom_site_fract_x
_atom_site_fract_y
_atom_site_fract_z
Pm1 0.000 0.000 0.000
Nd1 0.000 0.500 0.500
Nd2 0.500 0.000 0.500
Np1 0.500 0.500 0.000
As1 0.254 0.500 0.243
As2 0.258 0.000 0.760



[7]
# Nd2NpAs3Pt4, optimized geometry, DFT PBE
# **Raw total energy**: -6.847 eV/atom
# **ρ**: 12.09 g/cm³
# **Crystal system**: tetragonal
# **Calculated formation energy**: -76.0 kJ/mol of atoms
data_Nd2NpAs3Pt4
_space_group_name_H-M_alt 'P -4 m 2'
_space_group_IT_number 115
_cell_length_a 4.287
_cell_length_b 4.287
_cell_length_c 11.441
_cell_angle_alpha 90.00
_cell_angle_beta 90.00
_cell_angle_gamma 90.00
loop_
_space_group_symop_operation_xyz
'x,y,z'
'y,-x,-z'
'-x,-y,z'
'-y,x,-z'
'-x,y,z'
'-y,-x,-z'
'x,-y,z'
'y,x,-z'
loop_
_atom_site_label
_atom_site_fract_x
_atom_site_fract_y
_atom_site_fract_z
Nd1 0.000 0.500 0.217
Np1 0.000 0.000 0.500
As1 0.000 0.500 0.875
As2 0.500 0.500 0.500
Pt1 0.000 0.000 0.000
Pt2 0.000 0.500 0.661
Pt3 0.500 0.500 0.000



[8]
# NdPu2NpAs4, optimized geometry, DFT PBE
# **Raw total energy**: -9.147 eV/atom
# **ρ**: 9.50 g/cm³
# **Crystal system**: monoclinic
# **Calculated formation energy**: -98.9 kJ/mol of atoms
data_NdPu2NpAs4
_space_group_name_H-M_alt 'P 1 2/m 1'
_space_group_IT_number 10
_cell_length_a 7.199
_cell_length_b 4.163
_cell_length_c 7.225
_cell_angle_alpha 90.00
_cell_angle_beta 109.38
_cell_angle_gamma 90.00
loop_
_space_group_symop_operation_xyz
'x,y,z'
'-x,-y,-z'
'-x,y,-z'
'x,-y,z'
loop_
_atom_site_label
_atom_site_fract_x
_atom_site_fract_y
_atom_site_fract_z
Nd1 0.000 0.000 0.000
Pu1 0.500 0.000 0.500
Pu2 0.500 0.500 0.000
Np1 0.000 0.500 0.500
As1 0.252 0.000 0.745
As2 0.257 0.500 0.259



[9]
# NdPuNp2As4, optimized geometry, DFT PBE
# **Raw total energy**: -8.887 eV/atom
# **ρ**: 9.52 g/cm³
# **Crystal system**: monoclinic
# **Calculated formation energy**: -90.7 kJ/mol of atoms
data_NdPuNp2As4
_space_group_name_H-M_alt 'P 1 2/m 1'
_space_group_IT_number 10
_cell_length_a 7.165
_cell_length_b 4.141
_cell_length_c 7.241
_cell_angle_alpha 90.00
_cell_angle_beta 109.32
_cell_angle_gamma 90.00
loop_
_space_group_symop_operation_xyz
'x,y,z'
'-x,-y,-z'
'-x,y,-z'
'x,-y,z'
loop_
_atom_site_label
_atom_site_fract_x
_atom_site_fract_y
_atom_site_fract_z
Nd1 0.000 0.000 0.000
Pu1 0.500 0.500 0.000
Np1 0.000 0.500 0.500
Np2 0.500 0.000 0.500
As1 0.252 0.000 0.743
As2 0.257 0.500 0.261



[10]
# Nd2Pu3NpAs6, optimized geometry, DFT PBE
# **Raw total energy**: -8.877 eV/atom
# **ρ**: 9.19 g/cm³
# **Crystal system**: monoclinic
# **Calculated formation energy**: -105.7 kJ/mol of atoms
data_Nd2Pu3NpAs6
_space_group_name_H-M_alt 'C 1 2/m 1'
_space_group_IT_number 12
_cell_length_a 18.185
_cell_length_b 4.176
_cell_length_c 8.347
_cell_angle_alpha 90.00
_cell_angle_beta 103.15
_cell_angle_gamma 90.00
loop_
_space_group_symop_operation_xyz
'x,y,z'
'-x,-y,-z'
'-x,y,-z'
'x,-y,z'
'x+1/2,y+1/2,z'
'-x+1/2,-y+1/2,-z'
'-x+1/2,y+1/2,-z'
'x+1/2,-y+1/2,z'
loop_
_atom_site_label
_atom_site_fract_x
_atom_site_fract_y
_atom_site_fract_z
Nd1 0.166 0.000 0.334
Pu1 0.000 0.500 0.500
Pu2 0.168 0.000 0.834
Np1 0.000 0.500 0.000
As1 0.003 0.000 0.754
As2 0.165 0.500 0.074
As3 0.165 0.500 0.591



[11]
# Nd2NpAs4Rh3, optimized geometry, DFT PBE
# **Raw total energy**: -7.091 eV/atom
# **ρ**: 9.12 g/cm³
# **Crystal system**: tetragonal
# **Calculated formation energy**: -75.1 kJ/mol of atoms
data_Nd2NpAs4Rh3
_space_group_name_H-M_alt 'P -4 m 2'
_space_group_IT_number 115
_cell_length_a 4.316
_cell_length_b 4.316
_cell_length_c 11.078
_cell_angle_alpha 90.00
_cell_angle_beta 90.00
_cell_angle_gamma 90.00
loop_
_space_group_symop_operation_xyz
'x,y,z'
'y,-x,-z'
'-x,-y,z'
'-y,x,-z'
'-x,y,z'
'-y,-x,-z'
'x,-y,z'
'y,x,-z'
loop_
_atom_site_label
_atom_site_fract_x
_atom_site_fract_y
_atom_site_fract_z
Nd1 0.000 0.500 0.221
Np1 0.000 0.000 0.500
As1 0.000 0.000 0.000
As2 0.000 0.500 0.668
As3 0.500 0.500 0.000
Rh1 0.000 0.500 0.891
Rh2 0.500 0.500 0.500



[12]
# NdSm2NpAs4, optimized geometry, DFT PBE
# **Raw total energy**: -7.019 eV/atom
# **ρ**: 7.78 g/cm³
# **Crystal system**: monoclinic
# **Calculated formation energy**: -125.5 kJ/mol of atoms
data_NdSm2NpAs4
_space_group_name_H-M_alt 'P 1 2/m 1'
_space_group_IT_number 10
_cell_length_a 7.275
_cell_length_b 4.196
_cell_length_c 7.278
_cell_angle_alpha 90.00
_cell_angle_beta 109.32
_cell_angle_gamma 90.00
loop_
_space_group_symop_operation_xyz
'x,y,z'
'-x,-y,-z'
'-x,y,-z'
'x,-y,z'
loop_
_atom_site_label
_atom_site_fract_x
_atom_site_fract_y
_atom_site_fract_z
Nd1 0.000 0.000 0.000
Sm1 0.500 0.000 0.500
Sm2 0.500 0.500 0.000
Np1 0.000 0.500 0.500
As1 0.245 0.000 0.743
As2 0.248 0.500 0.257



[13]
# Sr2NdNpAs4, optimized geometry, DFT PBE
# **Raw total energy**: -6.032 eV/atom
# **ρ**: 6.21 g/cm³
# **Crystal system**: monoclinic
# **Calculated formation energy**: -103.6 kJ/mol of atoms
data_Sr2NdNpAs4
_space_group_name_H-M_alt 'P 1 2/m 1'
_space_group_IT_number 10
_cell_length_a 7.434
_cell_length_b 4.318
_cell_length_c 7.554
_cell_angle_alpha 90.00
_cell_angle_beta 109.10
_cell_angle_gamma 90.00
loop_
_space_group_symop_operation_xyz
'x,y,z'
'-x,-y,-z'
'-x,y,-z'
'x,-y,z'
loop_
_atom_site_label
_atom_site_fract_x
_atom_site_fract_y
_atom_site_fract_z
Sr1 0.000 0.000 0.000
Sr2 0.500 0.500 0.000
Nd1 0.000 0.500 0.500
Np1 0.500 0.000 0.500
As1 0.258 0.000 0.722
As2 0.274 0.500 0.284



[14]
# Sr3Nd2NpAs6, optimized geometry, DFT PBE
# **Raw total energy**: -5.757 eV/atom
# **ρ**: 5.94 g/cm³
# **Crystal system**: monoclinic
# **Calculated formation energy**: -109.9 kJ/mol of atoms
data_Sr3Nd2NpAs6
_space_group_name_H-M_alt 'C 1 2/m 1'
_space_group_IT_number 12
_cell_length_a 7.465
_cell_length_b 12.924
_cell_length_c 7.594
_cell_angle_alpha 90.00
_cell_angle_beta 109.19
_cell_angle_gamma 90.00
loop_
_space_group_symop_operation_xyz
'x,y,z'
'-x,-y,-z'
'-x,y,-z'
'x,-y,z'
'x+1/2,y+1/2,z'
'-x+1/2,-y+1/2,-z'
'-x+1/2,y+1/2,-z'
'x+1/2,-y+1/2,z'
loop_
_atom_site_label
_atom_site_fract_x
_atom_site_fract_y
_atom_site_fract_z
Sr1 0.000 0.000 0.000
Sr2 0.000 0.329 0.000
Nd1 0.000 0.166 0.500
Np1 0.000 0.500 0.500
As1 0.230 0.343 0.722
As2 0.237 0.500 0.279



[15]
# TbNd2NpAs4, optimized geometry, DFT PBE
# **Raw total energy**: -7.015 eV/atom
# **ρ**: 7.83 g/cm³
# **Crystal system**: monoclinic
# **Calculated formation energy**: -125.6 kJ/mol of atoms
data_TbNd2NpAs4
_space_group_name_H-M_alt 'P 1 2/m 1'
_space_group_IT_number 10
_cell_length_a 7.259
_cell_length_b 4.190
_cell_length_c 7.268
_cell_angle_alpha 90.00
_cell_angle_beta 109.29
_cell_angle_gamma 90.00
loop_
_space_group_symop_operation_xyz
'x,y,z'
'-x,-y,-z'
'-x,y,-z'
'x,-y,z'
loop_
_atom_site_label
_atom_site_fract_x
_atom_site_fract_y
_atom_site_fract_z
Tb1 0.000 0.000 0.000
Nd1 0.000 0.500 0.500
Nd2 0.500 0.000 0.500
Np1 0.500 0.500 0.000
As1 0.250 0.500 0.239
As2 0.256 0.000 0.762



[16]
# NdThNp2As4, optimized geometry, DFT PBE
# **Raw total energy**: -8.139 eV/atom
# **ρ**: 9.19 g/cm³
# **Crystal system**: monoclinic
# **Calculated formation energy**: -101.9 kJ/mol of atoms
data_NdThNp2As4
_space_group_name_H-M_alt 'P 1 2/m 1'
_space_group_IT_number 10
_cell_length_a 7.242
_cell_length_b 4.182
_cell_length_c 7.272
_cell_angle_alpha 90.00
_cell_angle_beta 109.42
_cell_angle_gamma 90.00
loop_
_space_group_symop_operation_xyz
'x,y,z'
'-x,-y,-z'
'-x,y,-z'
'x,-y,z'
loop_
_atom_site_label
_atom_site_fract_x
_atom_site_fract_y
_atom_site_fract_z
Nd1 0.000 0.000 0.000
Th1 0.000 0.500 0.500
Np1 0.500 0.000 0.500
Np2 0.500 0.500 0.000
As1 0.260 0.000 0.753
As2 0.262 0.500 0.255



[17]
# NdTh2NpAs4, optimized geometry, DFT PBE
# **Raw total energy**: -7.647 eV/atom
# **ρ**: 8.89 g/cm³
# **Crystal system**: monoclinic
# **Calculated formation energy**: -121.0 kJ/mol of atoms
data_NdTh2NpAs4
_space_group_name_H-M_alt 'P 1 2/m 1'
_space_group_IT_number 10
_cell_length_a 7.301
_cell_length_b 4.238
_cell_length_c 7.334
_cell_angle_alpha 90.00
_cell_angle_beta 109.59
_cell_angle_gamma 90.00
loop_
_space_group_symop_operation_xyz
'x,y,z'
'-x,-y,-z'
'-x,y,-z'
'x,-y,z'
loop_
_atom_site_label
_atom_site_fract_x
_atom_site_fract_y
_atom_site_fract_z
Nd1 0.000 0.000 0.000
Th1 0.500 0.000 0.500
Th2 0.500 0.500 0.000
Np1 0.000 0.500 0.500
As1 0.245 0.000 0.744
As2 0.249 0.500 0.254



[18]
# NdTm2NpAs4, optimized geometry, DFT PBE
# **Raw total energy**: -6.938 eV/atom
# **ρ**: 8.52 g/cm³
# **Crystal system**: monoclinic
# **Calculated formation energy**: -123.7 kJ/mol of atoms
data_NdTm2NpAs4
_space_group_name_H-M_alt 'P 1 2/m 1'
_space_group_IT_number 10
_cell_length_a 7.135
_cell_length_b 4.123
_cell_length_c 7.154
_cell_angle_alpha 90.00
_cell_angle_beta 109.36
_cell_angle_gamma 90.00
loop_
_space_group_symop_operation_xyz
'x,y,z'
'-x,-y,-z'
'-x,y,-z'
'x,-y,z'
loop_
_atom_site_label
_atom_site_fract_x
_atom_site_fract_y
_atom_site_fract_z
Nd1 0.000 0.000 0.000
Tm1 0.500 0.000 0.500
Tm2 0.500 0.500 0.000
Np1 0.000 0.500 0.500
As1 0.256 0.000 0.747
As2 0.258 0.500 0.260



[19]
# NdNp2UAs4, optimized geometry, DFT PBE
# **Raw total energy**: -8.431 eV/atom
# **ρ**: 9.58 g/cm³
# **Crystal system**: tetragonal
# **Calculated formation energy**: -83.3 kJ/mol of atoms
data_NdNp2UAs4
_space_group_name_H-M_alt 'I -4 m 2'
_space_group_IT_number 119
_space_group_name_Hall 'I -4 -2'
_cell_length_a 5.855
_cell_length_b 5.855
_cell_length_c 11.693
_cell_angle_alpha 90.00
_cell_angle_beta 90.00
_cell_angle_gamma 90.00
loop_
_atom_site_label
_atom_site_fract_x
_atom_site_fract_y
_atom_site_fract_z
Nd1 0.000 0.000 0.000
Np1 0.000 0.000 0.500
Np2 0.000 0.500 0.250
U1 0.000 0.500 0.750
As1 0.000 0.000 0.255
As2 0.000 0.500 0.502



[20]
# NdYNp2As4, optimized geometry, DFT PBE
# **Raw total energy**: -8.039 eV/atom
# **ρ**: 8.27 g/cm³
# **Crystal system**: monoclinic
# **Calculated formation energy**: -103.7 kJ/mol of atoms
data_NdYNp2As4
_space_group_name_H-M_alt 'P 1 2/m 1'
_space_group_IT_number 10
_cell_length_a 7.196
_cell_length_b 4.131
_cell_length_c 7.200
_cell_angle_alpha 90.00
_cell_angle_beta 109.25
_cell_angle_gamma 90.00
loop_
_space_group_symop_operation_xyz
'x,y,z'
'-x,-y,-z'
'-x,y,-z'
'x,-y,z'
loop_
_atom_site_label
_atom_site_fract_x
_atom_site_fract_y
_atom_site_fract_z
Nd1 0.000 0.000 0.000
Y1 0.500 0.500 0.000
Np1 0.000 0.500 0.500
Np2 0.500 0.000 0.500
As1 0.252 0.000 0.744
As2 0.258 0.500 0.260